Material: Gd3TeC
Method: DFT, PBE
State: relaxed

Lattice parameters (Å, degrees): 4.9428 4.9428 4.9428 90.00 90.00 90.00
Fractional coordinates of all 5 atoms:
Gd1 0.0000 0.0000 0.5000
Gd2 0.0000 0.5000 0.0000
Gd3 0.5000 0.0000 0.0000
Te1 0.5000 0.5000 0.5000
C1 0.0000 0.0000 0.0000

Computed properties:
**Electronic total energy**: -11.474 eV/atom
**Energy relative to the elements, uncorrected**: -0.5526 eV per atom
**Total magnetization**: 21.53 Bohr magnetons per cell
**Mass density**: 8.41 g/cm3